(1)
# Ca2Zn2Ga

Ca2Zn2Ga after structural relaxation (GGA-PBE, Alexandria).

a = 5.8766 Å, b = 5.8766 Å, c = 7.4331 Å
α = 90.00°, β = 90.00°, γ = 90.00°
Closest atoms and distances in Å follow each position.
Space group I4/mmm (No. 139)
Asymmetric unit:
1 Ca 0.0000 0.5000 0.2500  4 Zn 3.02
2 Zn 0.0000 0.0000 0.1586  1 Zn 2.36, 1 Ga 2.54
3 Ga 0.0000 0.0000 0.5000  2 Zn 2.54

* E_tot: -0.07413 hartree per atom
* M_tot: 0.00 μB/atom
* ΔE_f: -0.101 eV/atom
* theoretical density: 3632 kg/m3

(2)
# CaZn3Ga

CaZn3Ga after structural relaxation (GGA-PBE, Alexandria).

a = 4.8532 Å, b = 4.8532 Å, c = 4.8532 Å
α = 90.00°, β = 90.00°, γ = 90.00°
Closest atoms and distances in Å follow each position.
Space group Pm-3m (No. 221)
Asymmetric unit:
1 Ca 0.0000 0.0000 0.0000  12 Zn 3.43
2 Zn 0.0000 0.5000 0.5000  2 Ga 2.43
3 Ga 0.5000 0.5000 0.5000  6 Zn 2.43

* E_tot: -0.06191 hartree per atom
* M_tot: 0.00 μB/atom
* ΔE_f: 0.086 eV/atom
* theoretical density: 4446 kg/m3
* E above lowest polymorph: 36.44 kJ/mol of atoms

(3)
# Ca2Zn3Ga2

Ca2Zn3Ga2 after structural relaxation (GGA-PBE, Alexandria).

a = 10.8263 Å, b = 4.3707 Å, c = 6.7388 Å
α = 90.00°, β = 115.02°, γ = 90.00°
Closest atoms and distances in Å follow each position.
Space group C2/m (No. 12)
Asymmetric unit:
1 Ca 0.1508 0.0000 0.2675  5 Zn 3.06-3.43, 4 Ga 3.13-3.26
2 Zn 0.0000 0.5000 0.5000  2 Zn 2.58, 4 Ga 2.80
3 Zn 0.0926 0.5000 0.9218  2 Zn 2.58-2.63, 3 Ga 2.66-2.76
4 Ga 0.1464 0.0000 0.7481  5 Zn 2.66-2.80

* E_tot: -0.08534 hartree per atom
* M_tot: 0.00 μB/atom
* ΔE_f: -0.340 eV/atom
* theoretical density: 4780 kg/m3

(4)
# Ca3ZrGa

Ca3ZrGa after structural relaxation (GGA-PBE, Alexandria).

a = 5.6622 Å, b = 5.6622 Å, c = 5.6622 Å
α = 90.00°, β = 90.00°, γ = 90.00°
Closest atoms and distances in Å follow each position.
Space group Pm-3m (No. 221)
Asymmetric unit:
1 Ca 0.0000 0.0000 0.5000  2 Ga 2.83
2 Zr 0.5000 0.5000 0.5000  12 Ca 4.00
3 Ga 0.0000 0.0000 0.0000  6 Ca 2.83

* E_tot: -0.11239 hartree per atom
* M_tot: 0.59 μB/atom
* ΔE_f: 0.458 eV/atom
* theoretical density: 2572 kg/m3
* E above lowest polymorph: 0.00 kJ/mol of atoms

(5)
# Ca3ZrGa

Ca3ZrGa after structural relaxation (GGA-PBE, Alexandria).

a = 5.7081 Å, b = 5.7081 Å, c = 5.7081 Å
α = 90.00°, β = 90.00°, γ = 90.00°
Closest atoms and distances in Å follow each position.
Space group Pm-3m (No. 221)
Asymmetric unit:
1 Ca 0.0000 0.0000 0.5000  2 Zr 2.85
2 Zr 0.0000 0.0000 0.0000  6 Ca 2.85
3 Ga 0.5000 0.5000 0.5000  12 Ca 4.04

* E_tot: -0.09545 hartree per atom
* M_tot: 0.00 μB/atom
* ΔE_f: 0.919 eV/atom
* theoretical density: 2511 kg/m3
* E above lowest polymorph: 44.49 kJ/mol of atoms

(6)
# Ca2Zr2Ga

Ca2Zr2Ga after structural relaxation (GGA-PBE, Alexandria).

a = 7.5920 Å, b = 7.5920 Å, c = 4.8035 Å
α = 90.00°, β = 90.00°, γ = 90.00°
Closest atoms and distances in Å follow each position.
Space group P4/mbm (No. 127)
Asymmetric unit:
1 Ca 0.1544 0.3456 0.0000  2 Ga 2.87
2 Zr 0.1415 0.6415 0.5000  1 Zr 3.04, 6 Ca 3.25-3.29
3 Ga 0.0000 0.0000 0.0000  4 Ca 2.87

* E_tot: -0.15708 hartree per atom
* M_tot: 0.00 μB/atom
* ΔE_f: 0.551 eV/atom
* theoretical density: 3986 kg/m3
* E above lowest polymorph: 26.70 kJ/mol of atoms

(7)
# Ca2Zr2Ga

Ca2Zr2Ga after structural relaxation (GGA-PBE, Alexandria).

a = 3.9546 Å, b = 3.9546 Å, c = 18.9893 Å
α = 90.00°, β = 90.00°, γ = 90.00°
Closest atoms and distances in Å follow each position.
Space group I4/mmm (No. 139)
Asymmetric unit:
1 Ca 0.0000 0.0000 0.0904  4 Ga 3.28, 1 Ca 3.43, 4 Zr 3.62
2 Zr 0.0000 0.5000 0.2500  4 Zr 2.80
3 Ga 0.0000 0.0000 0.5000  8 Ca 3.28

* E_tot: -0.16725 hartree per atom
* M_tot: 0.00 μB/atom
* ΔE_f: 0.274 eV/atom
* theoretical density: 3716 kg/m3
* E above lowest polymorph: 0.00 kJ/mol of atoms

(8)
# CaZr2Ga

CaZr2Ga after structural relaxation (GGA-PBE, Alexandria).

a = 8.2476 Å, b = 8.2476 Å, c = 5.8591 Å
α = 90.00°, β = 90.00°, γ = 90.00°
Closest atoms and distances in Å follow each position.
Space group I-42d (No. 122)
Asymmetric unit:
1 Ca 0.0000 0.0000 0.0000  2 Ga 2.93, 4 Zr 3.28
2 Zr 0.2044 0.2500 0.6250  2 Ga 2.76, 2 Zr 3.02
3 Ga 0.0000 0.0000 0.5000  4 Zr 2.76, 2 Ca 2.93

* E_tot: -0.19419 hartree per atom
* M_tot: 0.00 μB/atom
* ΔE_f: 0.247 eV/atom
* theoretical density: 4871 kg/m3